NaLa2Cd | the Alexandria database | SCAN | PBEsol geometry; calculated formation energy = -0.0912 eV per atom; crystal system = cubic; total DFT energy (no corrections) = -30.3011 eV/atom; DOS(E_F) = 4.0 states/eV/f.u.
1.0
5.5484 0.0000 0.0000
2.7742 4.8050 0.0000
2.7742 1.6017 4.5302
Cd La Na
1 2 1
direct
0.5000 0.5000 0.5000 Cd
0.7500 0.7500 0.7500 La
0.2500 0.2500 0.2500 La
0.0000 0.0000 0.0000 Na